(1)
Computed, not measured: a relaxed Pm3Y2Te8 crystal at the PBE-GGA level of DFT.

Lattice parameters (Å, degrees): 15.4914 8.8400 7.6186 90.00 108.79 90.00
Space group C2/m (No. 12)
Unique sites:
Pm (0.0000, 0.0000, 0.0000)
Pm (0.0000, 0.2585, 0.5000)
Y (0.2500, 0.0000, 0.8327)
Te (0.1187, 0.5000, 0.3910)
Te (0.1240, 0.0000, 0.4201)
Te (0.1248, 0.2483, 0.9154)

Summary:
E_tot in eV/cell: -137.415
Density of states at the Fermi level in states/eV/atom: 0.525
Volume in Å³ per atom: 37.99

(2)
Computed, not measured: a relaxed Li2AgOs crystal at the PBE-GGA level of DFT.

Lattice parameters (Å, degrees): 2.9176 4.4446 9.1380 90.00 90.00 90.00
Space group Cmmm (No. 65)
Unique sites:
Li (0.0000, 0.0000, 0.2380)
Ag (0.0000, 0.5000, 0.5000)
Os (0.0000, 0.5000, 0.0000)

Summary:
E_tot in eV/cell: -35.175
Density of states at the Fermi level in states/eV/atom: 0.466
Energy above the lowest structure with this stoichiometry in meV/atom: 2
Volume in Å³ per atom: 14.81
Energy of formation from the pure elements in eV/atom: 0.080

(3)
Computed, not measured: a relaxed HoInHg2 crystal at the PBE-GGA level of DFT.

Lattice parameters (Å, degrees): 4.6298 4.6298 4.5068 90.00 90.00 90.00
Space group P4/mmm (No. 123)
Unique sites:
Ho (0.0000, 0.0000, 0.0000)
In (0.5000, 0.5000, 0.0000)
Hg (0.0000, 0.5000, 0.5000)

Summary:
E_tot in eV/cell: -9.252
Density of states at the Fermi level in states/eV/atom: 0.805
Volume in Å³ per atom: 24.15
Energy of formation from the pure elements in eV/atom: -0.333